This record from Alexandria describes an optimized crystal structure of Ac3La2In2. The functional is PBE.

Lattice parameters (Å, degrees): 13.6062 13.6062 3.8456 90.00 90.00 159.38
With the nearest neighbours (Å) after each atom.
Element x y z (fractional)
Ac1 0.0000 0.0000 0.0000  8 In 3.68, 4 Ac 3.69-3.85
Ac2 0.1379 0.8621 0.0000  4 In 3.55, 3 Ac 3.69-3.85, 4 La 3.73
Ac3 0.8621 0.1379 0.0000  4 In 3.55, 3 Ac 3.69-3.85, 4 La 3.73
La1 0.2850 0.7150 0.5000  2 La 3.07
La2 0.7150 0.2850 0.5000  2 La 3.07
In1 0.4264 0.5736 0.5000  8 Ac 3.55-3.68, 1 La 3.78, 3 In 3.85-3.94
In2 0.5736 0.4264 0.5000  8 Ac 3.55-3.68, 1 La 3.78, 3 In 3.85-3.94

Its symmetry is Cmmm (65). The total magnetization is 0.00 Bohr magnetons per cell. The value obtained for the density of states at the Fermi level is 8.362 states/eV/cell. The value obtained for the uncorrected energy is -4.103 eV/atom. The calculation puts the volume at 250.7 Å³ per cell.